## UTlCu2I8 (PBE)

Data for a geometry-optimized UTlCu2I8 structure.

Cell and atoms, written as POSCAR:
```
UTlCu2I8
1.0
6.0231 -4.2081 0.0000
6.0231 4.2081 0.0000
-0.3303 0.0000 10.0850
U Tl Cu I
1 1 2 8
Direct
0.0000 0.0000 0.0000
0.0000 0.0000 0.5000
0.3597 0.3597 0.2360
0.6403 0.6403 0.7640
0.2454 0.2454 0.0109
0.2499 0.7493 0.7904
0.2507 0.7501 0.2096
0.2866 0.2866 0.4638
0.7134 0.7134 0.5362
0.7493 0.2499 0.7904
0.7501 0.2507 0.2096
0.7546 0.7546 0.9891
```

Computed properties:
D(E_F) (states/eV/f.u.): 4.388
Formation energy (no corrections) (eV per atom): -0.48
M_tot (μB per formula unit): 1.03
Calculated density (g/cm³): 5.15